HfBeF2: optimized geometry, PBE-GGA.

The structure in extended XYZ format:
```
4
Lattice="1.385 0.800 9.222 -1.385 0.800 9.222 0.000 -1.599 9.222" Properties=species:S:1:pos:R:3 pbc="T T T"
Hf 0.000 0.000 0.000
Be 0.000 0.000 13.832
F 0.000 0.000 3.741
F 0.000 0.000 23.923
```

Computed properties:
Uncorrected energy = -23.93 eV/f.u.
Energy relative to the lowest polymorph listed for this composition = 0 meV per atom
Space group = No. 166
Energy relative to the elements, uncorrected = -1.628 eV/atom

TbYCuPd: optimized geometry, PBE-GGA.

The structure in extended XYZ format:
```
4
Lattice="4.546 0.000 0.000 0.000 1.875 5.248 0.000 -1.875 5.248" Properties=species:S:1:pos:R:3 pbc="T T T"
Tb 0.000 0.000 0.000
Y 2.273 0.000 7.586
Cu 0.000 0.000 2.976
Pd 2.273 0.000 4.616
```

Computed properties:
Uncorrected energy = -22.75 eV/f.u.
Energy relative to the lowest polymorph listed for this composition = 0 meV per atom
Energy relative to the elements = -2.37 eV per formula unit
Space group = No. 38

MgICl2: optimized geometry, PBE-GGA.

The structure in extended XYZ format:
```
8
Lattice="-3.761 3.761 5.054 3.761 -3.761 5.054 3.761 3.761 -5.054" Properties=species:S:1:pos:R:3 pbc="T T T"
Mg 0.000 0.000 0.000
Mg 0.000 3.761 2.527
I 3.761 0.000 2.527
I 0.000 0.000 5.054
Cl 0.655 1.881 1.264
Cl -1.881 3.107 3.791
Cl -0.655 5.642 1.264
Cl 1.881 4.416 3.791
```

Computed properties:
Uncorrected energy = -10.95 eV/f.u.
Energy relative to the lowest polymorph listed for this composition = 267 meV per atom
Space group = No. 122
Energy relative to the elements, uncorrected = -1.028 eV/atom

UTc3Sb5: optimized geometry, PBE-GGA.

The structure in extended XYZ format:
```
18
Lattice="5.793 -4.507 0.000 5.793 4.507 0.000 -3.436 0.000 8.757" Properties=species:S:1:pos:R:3 pbc="T T T"
U 0.162 0.000 2.645
U 7.988 0.000 6.112
Tc 0.000 0.000 0.000
Tc -1.718 0.000 4.378
Tc 2.464 0.000 2.955
Tc 1.276 0.000 7.512
Tc 6.873 0.000 1.244
Tc 5.686 0.000 5.801
Sb 2.645 2.789 2.857
Sb 2.629 0.000 0.276
Sb 5.793 1.962 0.000
Sb 5.504 2.789 5.899
Sb 2.892 0.000 5.546
Sb 5.257 0.000 3.211
Sb 2.645 -2.789 2.857
Sb 5.793 -1.962 0.000
Sb 5.520 0.000 8.481
Sb 5.504 -2.789 5.899
```

Computed properties:
Uncorrected energy = -62.05 eV/f.u.
Space group = No. 12
Energy relative to the elements, uncorrected = 0.105 eV/atom

BaMg2In: optimized geometry, PBE-GGA.

The structure in extended XYZ format:
```
4
Lattice="4.983 0.000 0.000 0.000 4.983 0.000 0.000 0.000 5.123" Properties=species:S:1:pos:R:3 pbc="T T T"
Ba 0.000 0.000 0.000
Mg 0.000 2.491 2.562
Mg 2.491 0.000 2.562
In 2.491 2.491 0.000
```

Computed properties:
Uncorrected energy = -8.04 eV/f.u.
Energy relative to the elements = -0.19 eV per formula unit
Space group = No. 123

Cs5Rb4F: optimized geometry, PBE-GGA.

The structure in extended XYZ format:
```
10
Lattice="-7.386 7.386 3.932 7.386 -7.386 3.932 7.386 7.386 -3.932" Properties=species:S:1:pos:R:3 pbc="T T T"
Cs 0.000 0.000 0.000
Cs 5.192 5.192 -0.511
Cs 2.195 -2.195 3.420
Cs -2.195 2.195 3.420
Cs 2.195 2.195 3.420
Rb 7.386 -2.336 3.357
Rb 7.386 2.336 3.357
Rb -2.336 7.386 3.357
Rb 2.336 7.386 3.357
F 0.000 0.000 2.866
```

Computed properties:
Uncorrected energy = -14.99 eV/f.u.
Space group = No. 107
Energy relative to the elements, uncorrected = -0.499 eV/atom

PrZrIrBr: optimized geometry, PBE-GGA.

The structure in extended XYZ format:
```
8
Lattice="2.173 1.255 14.505 -2.173 1.255 14.505 0.000 -2.510 14.505" Properties=species:S:1:pos:R:3 pbc="T T T"
Pr 0.000 0.000 3.662
Pr 0.000 0.000 39.854
Zr 0.000 0.000 13.465
Zr 0.000 0.000 30.051
Ir 0.000 0.000 16.306
Ir 0.000 0.000 27.209
Br 0.000 0.000 8.985
Br 0.000 0.000 34.530
```

Computed properties:
Uncorrected energy = -27.94 eV/f.u.
Space group = No. 166
Energy relative to the elements, uncorrected = -1.020 eV/atom

Pm2MgIr: optimized geometry, PBE-GGA.

The structure in extended XYZ format:
```
8
Lattice="2.055 -7.318 0.000 2.055 7.318 0.000 0.000 0.000 7.464" Properties=species:S:1:pos:R:3 pbc="T T T"
Pm 2.055 5.198 3.759
Pm 2.055 5.198 7.437
Pm 2.055 -5.198 0.027
Pm 2.055 -5.198 3.705
Mg 2.055 0.135 1.866
Mg 2.055 -0.135 5.598
Ir 2.055 2.895 1.866
Ir 2.055 -2.895 5.598
```

Computed properties:
Uncorrected energy = -21.76 eV/f.u.
Energy relative to the lowest polymorph listed for this composition = 0 meV per atom
Energy relative to the elements = -1.80 eV per formula unit
Space group = No. 63

DyTiNbIr2: optimized geometry, PBE-GGA.

The structure in extended XYZ format:
```
5
Lattice="-2.176 2.176 5.292 2.176 -2.176 5.292 2.176 2.176 -5.292" Properties=species:S:1:pos:R:3 pbc="T T T"
Dy 0.000 0.000 0.000
Ti 2.176 0.000 2.646
Nb 0.000 2.176 2.646
Ir 0.000 0.000 4.007
Ir 0.000 0.000 6.577
```

Computed properties:
Uncorrected energy = -43.78 eV/f.u.
Energy relative to the elements = -3.49 eV per formula unit
Space group = No. 119

Re2Ru3Rh3: optimized geometry, PBE-GGA.

The structure in extended XYZ format:
```
8
Lattice="3.611 2.085 2.595 -3.611 2.085 2.595 0.000 -4.170 2.595" Properties=species:S:1:pos:R:3 pbc="T T T"
Re 0.000 0.000 1.912
Re 0.000 0.000 5.874
Ru -2.563 0.269 2.595
Ru 1.048 -2.354 2.595
Ru 1.514 2.085 2.595
Rh -1.029 -1.783 3.893
Rh -1.029 1.783 3.893
Rh 2.059 0.000 3.893
```

Computed properties:
Uncorrected energy = -73.47 eV/f.u.
Energy relative to the elements = 1.31 eV per formula unit
Space group = No. 155

K4CdHg: optimized geometry, PBE-GGA.

The structure in extended XYZ format:
```
12
Lattice="5.417 -8.316 0.000 5.417 8.316 0.000 -2.502 0.000 6.311" Properties=species:S:1:pos:R:3 pbc="T T T"
K 1.805 5.294 5.833
K 1.639 1.214 4.188
K 5.275 5.294 3.634
K 2.890 -1.214 1.032
K 5.441 1.214 5.279
K 3.056 -5.294 2.677
K 6.692 -1.214 2.124
K 6.527 -5.294 0.478
Cd 4.791 2.117 1.578
Cd 3.540 -2.117 4.733
Hg 4.791 8.308 1.578
Hg 3.540 -8.308 4.733
```

Computed properties:
Uncorrected energy = -6.13 eV/f.u.
Energy relative to the lowest polymorph listed for this composition = 0 meV per atom
Energy relative to the elements = -0.53 eV per formula unit
Space group = No. 15

SmPuFe: optimized geometry, PBE-GGA.

The structure in extended XYZ format:
```
3
Lattice="-1.735 1.735 5.593 1.735 -1.735 5.593 1.735 1.735 -5.593" Properties=species:S:1:pos:R:3 pbc="T T T"
Sm 0.000 0.000 0.000
Pu 0.000 0.000 3.183
Fe 0.000 0.000 7.722
```

Computed properties:
Uncorrected energy = -27.16 eV/f.u.
Energy relative to the lowest polymorph listed for this composition = 95 meV per atom
Energy relative to the elements = 0.35 eV per formula unit
Space group = No. 107